# 1
## YRe2Te (PBE)

Data for a geometry-optimized YRe2Te structure.

```
YRe2Te
1.0
-0.8524 2.7518 2.9997
0.3368 -2.3110 2.2157
6.2109 0.2201 1.5629
Y Re Te
1 2 1
Cartesian
4.5643 -0.2507 4.4101 Y
0.8686 0.7507 2.4413 Re
0.7603 -2.2896 2.3164 Re
3.1129 -0.9059 1.7156 Te
```

Formation energy (no corrections)   0.263 eV per atom
M_tot   0.0 μB per formula unit

# 2
## SiPd2Pt2 (PBE)

Data for a geometry-optimized SiPd2Pt2 structure.

```
SiPd2Pt2
1.0
-5.7991 1.9281 -0.7374
-1.7674 -5.7737 -1.1966
-0.7441 -0.6388 4.1813
Si Pd Pt
2 4 4
Cartesian
0.0000 0.0000 0.0000 Si
-3.7833 -1.9228 -0.9670 Si
-2.4810 -3.8290 1.1791 Pd
-5.8296 -0.6555 1.0681 Pd
-5.6919 -3.8819 0.5997 Pd
-2.6187 -0.6025 1.6476 Pd
-6.0807 -2.1091 -1.4043 Pt
-4.0297 0.3897 -0.6576 Pt
-3.5369 -4.2353 -1.2765 Pt
-1.4859 -1.7365 -0.5297 Pt
```

Formation energy (no corrections)   -0.233 eV per atom
M_tot   0.0 μB per formula unit

# 3
## KGa2Fe (PBE)

Data for a geometry-optimized KGa2Fe structure.

```
KGa2Fe
1.0
-1.2122 -4.2008 2.1810
-4.5795 -1.6764 -0.3013
-0.9808 -3.9569 -2.6934
Ga K Fe
2 1 1
Cartesian
-1.6931 -2.4585 -0.2034 Ga
-5.0794 -7.3756 -0.6102 Ga
0.0000 0.0000 0.0000 K
-3.3863 -4.9170 -0.4068 Fe
```

Formation enthalpy at 0 K   0.58 eV per atom
M_tot   2.7 μB per formula unit

# 4
## CrAg2Cl (PBE)

Data for a geometry-optimized CrAg2Cl structure.

```
CrAg2Cl
1.0
8.2885 0.2133 0.6428
7.6467 3.2050 0.6428
2.2694 0.4868 4.0129
Ag Cr Cl
2 1 1
Cartesian
14.0917 3.0229 3.7139 Ag
16.5030 3.5402 4.9657 Ag
4.2492 0.9115 1.5039 Cr
10.6676 2.2884 3.0630 Cl
```

Formation energy (no corrections)   0.099 eV per atom
Energy above the most stable polymorph in this dataset   0.145 eV/f.u.
M_tot   4.0 μB per formula unit